*A*
Computed, not measured: a relaxed structure of LaPmPb at the PBE level of DFT.

Cell and atoms, written as POSCAR:
```
LaPmPb
1.0
3.973 0.000 0.000
0.000 5.363 0.000
0.000 -2.682 4.645
La Pm Pb
1 1 1
direct
0.363 0.333 0.667 La
0.927 0.000 0.000 Pm
0.710 0.667 0.333 Pb
```

Symmetry: No. 156

***

*B*
Computed, not measured: a relaxed structure of LaPmPb at the PBE level of DFT.

Cell and atoms, written as POSCAR:
```
LaPmPb
1.0
4.291 0.000 0.000
0.000 4.291 0.000
-2.146 -2.146 5.082
Pb Pm La
1 1 1
direct
0.953 0.953 0.906 Pb
0.603 0.603 0.206 Pm
0.294 0.294 0.588 La
```

Symmetry: No. 107

***

Most stable = *B*